Material: YZr2Co
Method: DFT, GGA-PBE
State: optimized geometry

a b c (Å): 5.8623 5.8623 5.8623
angles (deg): 145.98 129.42 62.37
Closest atoms and distances in Å follow each position.
Positions (direct):
Y: 0.0000 0.0000 0.0000  2 Co 2.78
Zr: 0.2943 0.7943 0.5000  4 Co 3.04, 2 Zr 3.18, 2 Y 3.24
Zr: 0.5992 0.5992 0.0000  2 Co 2.51
Co: 0.7815 0.2815 0.5000  2 Zr 2.51, 2 Y 2.78

Calculated values
Energy of formation from the pure elements, meV/atom: 2.8
N(E_F), states/eV per cell: 4.7
Offset from the most stable computed form, kJ per mole of atoms: 14.7

=====

Material: RbTlPtRh2
Method: DFT, GGA-PBE
State: optimized geometry

a b c (Å): 4.9760 4.9760 5.2537
angles (deg): 90.00 90.00 90.00
Closest atoms and distances in Å follow each position.
Positions (direct):
Rb: 0.0000 0.0000 0.0000  4 Rh 2.49, 2 Pt 2.63
Tl: 0.5000 0.5000 0.5000  4 Pt 3.52, 8 Rh 3.62
Pt: 0.0000 0.0000 0.5000  2 Rb 2.63
Rh: 0.0000 0.5000 0.0000  2 Rb 2.49
Rh: 0.5000 0.0000 0.0000  2 Rb 2.49

Calculated values
Energy of formation from the pure elements, meV/atom: 1944.5
N(E_F), states/eV per cell: 5.3

=====

Material: Sm8Sn2Os
Method: DFT, GGA-PBE
State: optimized geometry

a b c (Å): 10.1087 10.1087 6.8304
angles (deg): 106.64 106.64 29.36
Closest atoms and distances in Å follow each position.
Positions (direct):
Sm: 0.0163 0.0163 0.2876  2 Os 3.01, 1 Sm 3.15, 1 Sn 3.28
Sm: 0.2171 0.2171 0.8151  3 Sn 3.22-3.37, 4 Sm 3.41-3.56
Sm: 0.3542 0.3542 0.5097  1 Os 2.87
Sm: 0.4107 0.4107 0.0482  1 Os 3.06, 2 Sn 3.39, 2 Sm 3.39
Sm: 0.5893 0.5893 0.9518  1 Os 3.06, 2 Sn 3.39, 2 Sm 3.39
Sm: 0.6458 0.6458 0.4903  1 Os 2.87
Sm: 0.7829 0.7829 0.1849  3 Sn 3.22-3.37, 4 Sm 3.41-3.56
Sm: 0.9837 0.9837 0.7124  2 Os 3.01, 1 Sm 3.15, 1 Sn 3.28
Sn: 0.1784 0.1784 0.2423  9 Sm 3.22-3.39
Sn: 0.8216 0.8216 0.7577  9 Sm 3.22-3.39
Os: 0.5000 0.5000 0.5000  8 Sm 2.87-3.06

Calculated values
Energy of formation from the pure elements, meV/atom: -330.0
N(E_F), states/eV per cell: 9.5

=====

Material: Al2HgPd8
Method: DFT, GGA-PBE
State: optimized geometry

a b c (Å): 4.6123 5.8826 7.4376
angles (deg): 111.44 105.62 95.46
Closest atoms and distances in Å follow each position.
Positions (direct):
Al: 0.0000 0.0000 0.0000  8 Pd 2.52-2.76
Al: 0.3212 0.3229 0.6444  8 Pd 2.52-2.77
Hg: 0.6299 0.6888 0.3223  10 Pd 2.70-2.96
Pd: 0.0141 0.6007 0.0651  1 Al 2.57, 6 Pd 2.73-2.85, 1 Hg 2.84
Pd: 0.0264 0.3606 0.3219  2 Al 2.52, 4 Pd 2.66-2.76, 1 Hg 2.78
Pd: 0.2708 0.8579 0.5791  1 Al 2.57, 6 Pd 2.74-2.85, 1 Hg 2.83
Pd: 0.4642 0.7517 0.9321  3 Al 2.52-2.76, 3 Pd 2.73-2.82
Pd: 0.4728 0.2497 0.9756  2 Al 2.58-2.60, 1 Hg 2.76, 4 Pd 2.82-2.85
Pd: 0.4916 0.1249 0.3223  2 Al 2.62-2.63, 6 Pd 2.66-2.91, 1 Hg 2.70
Pd: 0.8204 0.5956 0.6688  2 Al 2.58-2.60, 1 Hg 2.76, 4 Pd 2.82-2.84
Pd: 0.8534 0.1413 0.7123  3 Al 2.52-2.77, 3 Pd 2.74-2.82

Calculated values
Energy of formation from the pure elements, meV/atom: -431.2
N(E_F), states/eV per cell: 4.4
Offset from the most stable computed form, kJ per mole of atoms: 6.3

=====

Material: YTm2MgRh4
Method: DFT, GGA-PBE
State: optimized geometry

a b c (Å): 8.1863 8.1863 8.1863
angles (deg): 33.41 33.41 33.41
Closest atoms and distances in Å follow each position.
Positions (direct):
Y: 0.0000 0.0000 0.0000  8 Rh 2.90-2.91
Tm: 0.2447 0.2447 0.2447  8 Rh 2.76-3.07
Tm: 0.7553 0.7553 0.7553  8 Rh 2.76-3.07
Mg: 0.5000 0.5000 0.5000  8 Rh 2.85-2.88
Rh: 0.1254 0.1254 0.1254  4 Tm 2.76-2.85, 3 Mg 2.88, 1 Y 2.91
Rh: 0.3770 0.3770 0.3770  1 Mg 2.85, 3 Y 2.90, 4 Tm 2.91-3.07
Rh: 0.6230 0.6230 0.6230  1 Mg 2.85, 3 Y 2.90, 4 Tm 2.91-3.07
Rh: 0.8746 0.8746 0.8746  4 Tm 2.76-2.85, 3 Mg 2.88, 1 Y 2.91

Calculated values
Energy of formation from the pure elements, meV/atom: -848.1
N(E_F), states/eV per cell: 2.4

=====

Material: TaTlFe4
Method: DFT, GGA-PBE
State: optimized geometry

a b c (Å): 4.8999 4.8999 4.8999
angles (deg): 60.00 60.00 60.00
Closest atoms and distances in Å follow each position.
Positions (direct):
Ta: 0.0000 0.0000 0.0000  12 Fe 2.87, 4 Tl 3.00
Tl: 0.7500 0.7500 0.7500  12 Fe 2.87, 4 Ta 3.00
Fe: 0.3742 0.3742 0.3742  6 Fe 2.44-2.46
Fe: 0.3742 0.3742 0.8773  6 Fe 2.44-2.46
Fe: 0.3742 0.8773 0.3742  6 Fe 2.44-2.46
Fe: 0.8773 0.3742 0.3742  6 Fe 2.44-2.46

Calculated values
Energy of formation from the pure elements, meV/atom: 118.7
N(E_F), states/eV per cell: 3.7

=====

Material: Nd4Sb2SeS
Method: DFT, GGA-PBE
State: optimized geometry

a b c (Å): 8.6906 8.6906 8.6906
angles (deg): 120.06 119.93 90.00
Closest atoms and distances in Å follow each position.
Positions (direct):
Nd: 0.2580 0.2499 0.4920  1 S 2.98, 2 Se 3.03, 3 Sb 3.12-3.17
Nd: 0.2580 0.7660 0.0080  1 S 2.98, 2 Se 3.03, 3 Sb 3.12-3.17
Nd: 0.2613 0.2461 0.0151  2 S 2.98, 1 Se 3.03, 3 Sb 3.12-3.17
Nd: 0.2690 0.7539 0.5151  2 S 2.98, 1 Se 3.03, 3 Sb 3.12-3.17
Nd: 0.7310 0.2461 0.4849  2 S 2.98, 1 Se 3.03, 3 Sb 3.12-3.17
Nd: 0.7387 0.7539 0.9849  2 S 2.98, 1 Se 3.03, 3 Sb 3.12-3.17
Nd: 0.7420 0.2340 0.9920  1 S 2.98, 2 Se 3.03, 3 Sb 3.12-3.17
Nd: 0.7420 0.7501 0.5080  1 S 2.98, 2 Se 3.03, 3 Sb 3.12-3.17
Sb: 0.0000 0.0000 0.5000  6 Nd 3.17
Sb: 0.0000 0.5000 0.0000  6 Nd 3.17
Sb: 0.0000 0.5000 0.5000  6 Nd 3.12
Sb: 0.5000 0.5000 0.0000  6 Nd 3.12
Se: 0.0000 0.0000 0.0000  6 Nd 3.03
Se: 0.5000 0.0000 0.5000  6 Nd 3.03
S: 0.5000 0.0000 0.0000  6 Nd 2.98
S: 0.5000 0.5000 0.5000  6 Nd 2.98

Calculated values
E_form (uncorrected), meV/atom: -1543
N(E_F), states/eV per cell: 6.5

=====

Material: ZrAl2Re2
Method: DFT, GGA-PBE
State: optimized geometry

a b c (Å): 7.1845 7.1845 3.1192
angles (deg): 90.00 90.00 90.00
Closest atoms and distances in Å follow each position.
Positions (direct):
Zr: 0.0000 0.0000 0.0000  4 Al 2.82, 8 Re 3.11, 2 Zr 3.12
Zr: 0.5000 0.5000 0.0000  4 Al 2.82, 8 Re 3.11, 2 Zr 3.12
Al: 0.1289 0.3711 0.0000  1 Al 2.62, 6 Re 2.62-2.63, 2 Zr 2.82
Al: 0.3711 0.8711 0.0000  1 Al 2.62, 6 Re 2.62-2.63, 2 Zr 2.82
Al: 0.6289 0.1289 0.0000  1 Al 2.62, 6 Re 2.62-2.63, 2 Zr 2.82
Al: 0.8711 0.6289 0.0000  1 Al 2.62, 6 Re 2.62-2.63, 2 Zr 2.82
Re: 0.1635 0.6635 0.5000  6 Al 2.62-2.63
Re: 0.3365 0.1635 0.5000  6 Al 2.62-2.63
Re: 0.6635 0.8365 0.5000  6 Al 2.62-2.63
Re: 0.8365 0.3365 0.5000  6 Al 2.62-2.63

Calculated values
Energy of formation from the pure elements, meV/atom: -143.5
N(E_F), states/eV per cell: 3.4
Offset from the most stable computed form, kJ per mole of atoms: 0.0